Density functional theory data (GGA+U) for a relaxed structure of RbAc3Co4O12.

Cell lengths 7.5980, 7.5980, 7.5980 Å; angles 102.63, 102.63, 102.63 degrees
Last column: magnetic moment on the atom in μB.
Atoms (fractional coordinates):
O: 0.2158 0.3869 0.9983  0.24
Co: 0.0470 0.5000 0.9530  2.52
Ac: 0.5473 0.4527 0.0000  0.05
Co: 0.5000 0.9530 0.0470  2.52
O: 0.6502 0.5000 0.3498  0.25
Rb: 0.0000 0.0000 0.0000  0.00
O: 0.0999 0.9001 0.5000  0.15
O: 0.0017 0.6131 0.7842  0.24
O: 0.6131 0.7842 0.0017  0.24
O: 0.5000 0.0999 0.9001  0.15
O: 0.5000 0.3498 0.6502  0.25
O: 0.3869 0.9983 0.2158  0.24
O: 0.7842 0.0017 0.6131  0.24
O: 0.9001 0.5000 0.0999  0.15
O: 0.9983 0.2158 0.3869  0.24
O: 0.3498 0.6502 0.5000  0.25
Co: 0.5000 0.5000 0.5000  2.92
Ac: 0.0000 0.5473 0.4527  0.05
Ac: 0.4527 0.0000 0.5473  0.05
Co: 0.9530 0.0470 0.5000  2.52

- Energy: -6.4367 eV/atom